Record 1
# LiRhAu2, PBEsol geometry, DFT SCAN
data_LiRhAu2
_space_group_name_H-M_alt 'I -4 m 2'
_space_group_IT_number 119
_space_group_name_Hall 'I -4 -2'
_cell_length_a 3.8785
_cell_length_b 3.8785
_cell_length_c 7.9728
_cell_angle_alpha 90.00
_cell_angle_beta 90.00
_cell_angle_gamma 90.00
loop_
_atom_site_label
_atom_site_fract_x
_atom_site_fract_y
_atom_site_fract_z
Li1 0.0000 0.0000 0.0000
Rh1 0.0000 0.5000 0.2500
Au1 0.0000 0.0000 0.5000
Au2 0.0000 0.5000 0.7500
# DFT formation energy	-0.178	eV/atom
# magnetization	0.00	μB per formula unit
# crystal system	tetragonal
# volume	15.0	Å³ per atom

Record 2
# La2AlAs, PBEsol geometry, DFT SCAN
data_La2AlAs
_space_group_name_H-M_alt 'R 3 m'
_space_group_IT_number 160
_space_group_name_Hall 'R 3 -2"'
_cell_length_a 4.2479
_cell_length_b 4.2479
_cell_length_c 22.3672
_cell_angle_alpha 90.00
_cell_angle_beta 90.00
_cell_angle_gamma 120.00
loop_
_atom_site_label
_atom_site_fract_x
_atom_site_fract_y
_atom_site_fract_z
La1 0.0000 0.0000 0.0000
La2 0.0000 0.0000 0.1849
Al1 0.0000 0.0000 0.4251
As1 0.0000 0.0000 0.7587
# DFT formation energy	-0.608	eV/atom
# energy above the lowest structure with this stoichiometry	141	meV/atom
# magnetization	0.14	μB per formula unit
# crystal system	trigonal
# volume	29.1	Å³ per atom

Record 3
# CuSiTe2, PBEsol geometry, DFT SCAN
data_CuSiTe2
_space_group_name_H-M_alt 'P 4 m m'
_space_group_IT_number 99
_cell_length_a 3.0760
_cell_length_b 3.0760
_cell_length_c 9.0637
_cell_angle_alpha 90.00
_cell_angle_beta 90.00
_cell_angle_gamma 90.00
loop_
_space_group_symop_operation_xyz
'x,y,z'
'-y,x,z'
'-x,-y,z'
'y,-x,z'
'-x,y,z'
'y,x,z'
'x,-y,z'
'-y,-x,z'
loop_
_atom_site_label
_atom_site_fract_x
_atom_site_fract_y
_atom_site_fract_z
Cu1 0.0000 0.0000 0.0000
Si1 0.5000 0.5000 0.1334
Te1 0.0000 0.0000 0.4009
Te2 0.5000 0.5000 0.7748
# magnetization	0.00	μB per formula unit
# crystal system	tetragonal
# formation energy without anion corrections	0.37	eV/atom
# volume	21.4	Å³ per atom

Record 4
# CuIr2Pt, PBEsol geometry, DFT SCAN
data_CuIr2Pt
_space_group_name_H-M_alt 'R 3 m'
_space_group_IT_number 160
_space_group_name_Hall 'R 3 -2"'
_cell_length_a 2.7071
_cell_length_b 2.7071
_cell_length_c 26.0343
_cell_angle_alpha 90.00
_cell_angle_beta 90.00
_cell_angle_gamma 120.00
loop_
_atom_site_label
_atom_site_fract_x
_atom_site_fract_y
_atom_site_fract_z
Cu1 0.0000 0.0000 0.0000
Ir1 0.0000 0.0000 0.4972
Ir2 0.0000 0.0000 0.7477
Pt1 0.0000 0.0000 0.2519
# DFT formation energy	0.009	eV/atom
# energy above the lowest structure with this stoichiometry	5	meV/atom
# magnetization	0.00	μB per formula unit
# crystal system	trigonal
# volume	13.8	Å³ per atom

Record 5
# Y3Al6Ni2, PBEsol geometry, DFT SCAN
data_Y3Al6Ni2
_space_group_name_H-M_alt 'I m -3 m'
_space_group_IT_number 229
_space_group_name_Hall '-I 4 2 3'
_cell_length_a 9.2294
_cell_length_b 9.2294
_cell_length_c 9.2294
_cell_angle_alpha 90.00
_cell_angle_beta 90.00
_cell_angle_gamma 90.00
loop_
_atom_site_label
_atom_site_fract_x
_atom_site_fract_y
_atom_site_fract_z
Y1 0.0000 0.0000 0.2687
Al1 0.0000 0.3295 0.3295
Ni1 0.2500 0.2500 0.2500
# DFT formation energy	-0.571	eV/atom
# magnetization	0.00	μB per formula unit
# crystal system	cubic
# volume	17.9	Å³ per atom

Record 6
# BaCaBi3, PBEsol geometry, DFT SCAN
data_BaCaBi3
_space_group_name_H-M_alt 'P m -3 m'
_space_group_IT_number 221
_space_group_name_Hall '-P 4 2 3'
_cell_length_a 5.7808
_cell_length_b 5.7808
_cell_length_c 5.7808
_cell_angle_alpha 90.00
_cell_angle_beta 90.00
_cell_angle_gamma 90.00
loop_
_atom_site_label
_atom_site_fract_x
_atom_site_fract_y
_atom_site_fract_z
Ba1 0.0000 0.0000 0.0000
Ca1 0.5000 0.5000 0.5000
Bi1 0.0000 0.5000 0.5000
# DFT formation energy	-0.295	eV/atom
# magnetization	0.00	μB per formula unit
# crystal system	cubic
# volume	38.6	Å³ per atom

Record 7
# ZnGaIN2, PBEsol geometry, DFT SCAN
data_ZnGaIN2
_space_group_name_H-M_alt 'P 4/m m m'
_space_group_IT_number 123
_space_group_name_Hall '-P 4 2'
_cell_length_a 3.7967
_cell_length_b 3.7967
_cell_length_c 6.4788
_cell_angle_alpha 90.00
_cell_angle_beta 90.00
_cell_angle_gamma 90.00
loop_
_atom_site_label
_atom_site_fract_x
_atom_site_fract_y
_atom_site_fract_z
Zn1 0.0000 0.0000 0.0000
Ga1 0.5000 0.5000 0.5000
I1 0.5000 0.5000 0.0000
N1 0.0000 0.5000 0.5000
# magnetization	2.62	μB per formula unit
# crystal system	tetragonal
# formation energy without anion corrections	1.13	eV/atom
# volume	18.7	Å³ per atom

Record 8
# ZnWN2F, PBEsol geometry, DFT SCAN
data_ZnWN2F
_space_group_name_H-M_alt 'P 4/m m m'
_space_group_IT_number 123
_space_group_name_Hall '-P 4 2'
_cell_length_a 3.9384
_cell_length_b 3.9384
_cell_length_c 3.9863
_cell_angle_alpha 90.00
_cell_angle_beta 90.00
_cell_angle_gamma 90.00
loop_
_atom_site_label
_atom_site_fract_x
_atom_site_fract_y
_atom_site_fract_z
Zn1 0.0000 0.0000 0.0000
W1 0.5000 0.5000 0.5000
N1 0.0000 0.5000 0.5000
F1 0.5000 0.5000 0.0000
# magnetization	0.00	μB per formula unit
# crystal system	tetragonal
# formation energy without anion corrections	-0.18	eV/atom
# volume	12.4	Å³ per atom

Record 9
# Tc3Pb, PBEsol geometry, DFT SCAN
data_Tc3Pb
_space_group_name_H-M_alt 'P m -3 m'
_space_group_IT_number 221
_space_group_name_Hall '-P 4 2 3'
_cell_length_a 3.9896
_cell_length_b 3.9896
_cell_length_c 3.9896
_cell_angle_alpha 90.00
_cell_angle_beta 90.00
_cell_angle_gamma 90.00
loop_
_atom_site_label
_atom_site_fract_x
_atom_site_fract_y
_atom_site_fract_z
Tc1 0.0000 0.0000 0.5000
Pb1 0.5000 0.5000 0.5000
# DFT formation energy	0.729	eV/atom
# magnetization	3.55	μB per formula unit
# crystal system	cubic
# volume	15.9	Å³ per atom

Record 10
# Ce4GeS3, PBEsol geometry, DFT SCAN
data_Ce4GeS3
_space_group_name_H-M_alt 'I 4/m m m'
_space_group_IT_number 139
_space_group_name_Hall '-I 4 2'
_cell_length_a 5.6773
_cell_length_b 5.6773
_cell_length_c 11.3604
_cell_angle_alpha 90.00
_cell_angle_beta 90.00
_cell_angle_gamma 90.00
loop_
_atom_site_label
_atom_site_fract_x
_atom_site_fract_y
_atom_site_fract_z
Ce1 0.0000 0.0000 0.2448
Ce2 0.0000 0.5000 0.0000
Ge1 0.0000 0.0000 0.5000
S1 0.0000 0.0000 0.0000
S2 0.0000 0.5000 0.2500
# magnetization	0.39	μB per formula unit
# crystal system	tetragonal
# formation energy without anion corrections	-1.89	eV/atom
# volume	22.9	Å³ per atom

Record 11
# TbMnB4, PBEsol geometry, DFT SCAN
data_TbMnB4
_space_group_name_H-M_alt 'P b a m'
_space_group_IT_number 55
_cell_length_a 5.8839
_cell_length_b 11.3817
_cell_length_c 3.3667
_cell_angle_alpha 90.00
_cell_angle_beta 90.00
_cell_angle_gamma 90.00
loop_
_space_group_symop_operation_xyz
'x,y,z'
'-x,-y,-z'
'-x,-y,z'
'x,y,-z'
'x+1/2,-y+1/2,-z'
'-x+1/2,y+1/2,z'
'-x+1/2,y+1/2,-z'
'x+1/2,-y+1/2,z'
loop_
_atom_site_label
_atom_site_fract_x
_atom_site_fract_y
_atom_site_fract_z
Tb1 0.1256 0.1505 0.0000
Mn1 0.1264 0.4167 0.0000
B1 0.0250 0.6906 0.5000
B2 0.1120 0.5461 0.5000
B3 0.1387 0.9674 0.5000
B4 0.2201 0.8165 0.5000
# DFT formation energy	-0.693	eV/atom
# magnetization	1.00	μB per formula unit
# crystal system	orthorhombic
# volume	9.4	Å³ per atom

Record 12
# TlSiC3, PBEsol geometry, DFT SCAN
data_TlSiC3
_space_group_name_H-M_alt 'P m -3 m'
_space_group_IT_number 221
_space_group_name_Hall '-P 4 2 3'
_cell_length_a 4.3346
_cell_length_b 4.3346
_cell_length_c 4.3346
_cell_angle_alpha 90.00
_cell_angle_beta 90.00
_cell_angle_gamma 90.00
loop_
_atom_site_label
_atom_site_fract_x
_atom_site_fract_y
_atom_site_fract_z
Tl1 0.0000 0.0000 0.0000
Si1 0.5000 0.5000 0.5000
C1 0.0000 0.0000 0.5000
# energy above the lowest structure with this stoichiometry	1704	meV/atom
# magnetization	3.02	μB per formula unit
# crystal system	cubic
# formation energy without anion corrections	3.83	eV/atom
# volume	16.3	Å³ per atom